{
  "formula": "CuReTcPb",
  "functional": "PBE",
  "state": "optimized geometry",
  "total_magnetization_mub_per_fu": 0.01,
  "space_group": "No. 216",
  "polymorph_energy_mev_per_atom": 0,
  "cell": [[6.366, 0.000, 0.000], [0.000, 6.366, 0.000], [0.000, 0.000, 6.366]],
  "species": ["Cu", "Cu", "Cu", "Cu", "Re", "Re", "Re", "Re", "Tc", "Tc", "Tc", "Tc", "Pb", "Pb", "Pb", "Pb"],
  "frac_coords": [[0.000, 0.000, 0.000], [0.000, 0.500, 0.500], [0.500, 0.000, 0.500], [0.500, 0.500, 0.000], [0.250, 0.250, 0.250], [0.250, 0.750, 0.750], [0.750, 0.250, 0.750], [0.750, 0.750, 0.250], [0.000, 0.000, 0.500], [0.000, 0.500, 0.000], [0.500, 0.000, 0.000], [0.500, 0.500, 0.500], [0.250, 0.250, 0.750], [0.250, 0.750, 0.250], [0.750, 0.250, 0.250], [0.750, 0.750, 0.750]]
}